--- one ---
# SbW2O8 GGA+U relaxed
data_SbW2O8
_symmetry_space_group_name_H-M 'C 1 2/m 1'
_symmetry_Int_Tables_number 12
_symmetry_space_group_name_Hall '-C 2y'
_cell_length_a 8.818
_cell_length_b 9.721
_cell_length_c 5.426
_cell_angle_alpha 90.00
_cell_angle_beta 97.66
_cell_angle_gamma 90.00
loop_
_atom_site_label
_atom_site_fract_x
_atom_site_fract_y
_atom_site_fract_z
Sb1 0.000 0.000 0.000
W1 0.230 0.000 0.636
O1 0.074 0.500 0.272
O2 0.131 0.138 0.793
O3 0.181 0.000 0.291
# density of states at the Fermi level = 6.247 states/eV/cell
# M_tot = 0.0 μB per formula unit


--- two ---
# SbW2O8 GGA+U relaxed
data_SbW2O8
_symmetry_space_group_name_H-M 'P 1 2/c 1'
_symmetry_Int_Tables_number 13
_symmetry_space_group_name_Hall '-P 2yc'
_cell_length_a 5.133
_cell_length_b 5.846
_cell_length_c 10.870
_cell_angle_alpha 90.00
_cell_angle_beta 116.05
_cell_angle_gamma 90.00
loop_
_atom_site_label
_atom_site_fract_x
_atom_site_fract_y
_atom_site_fract_z
Sb1 0.000 0.150 0.250
W1 0.228 0.332 0.993
O1 0.162 0.405 0.610
O2 0.221 0.139 0.126
O3 0.247 0.113 0.873
O4 0.334 0.388 0.402
# density of states at the Fermi level = 3.941 states/eV/cell
# M_tot = 0.0 μB per formula unit


--- three ---
# SbW2O8 GGA+U relaxed
data_SbW2O8
_symmetry_space_group_name_H-M 'P -1'
_symmetry_Int_Tables_number 2
_symmetry_space_group_name_Hall '-P 1'
_cell_length_a 5.106
_cell_length_b 5.627
_cell_length_c 6.630
_cell_angle_alpha 110.65
_cell_angle_beta 91.06
_cell_angle_gamma 104.70
loop_
_atom_site_label
_atom_site_fract_x
_atom_site_fract_y
_atom_site_fract_z
Sb1 0.000 0.000 0.000
W1 0.252 0.473 0.816
O1 0.092 0.749 0.157
O2 0.150 0.735 0.749
O3 0.327 0.280 0.569
O4 0.374 0.304 0.031
# density of states at the Fermi level = 2.509 states/eV/cell
# M_tot = 0.0 μB per formula unit


It comes down to two, which is 69 meV per atom more stable than the next structure.